1.
Material: SrFeP2S8
Method: DFT, PBE-GGA
State: relaxed

Lattice parameters (Å, degrees): 5.8073 5.8073 8.4776 90.00 90.00 120.00
Space group P-3 (No. 147)
One atom of each set of equivalent atoms:
Sr 0.0000 0.0000 0.0000 x1
Fe 0.0000 0.0000 0.5000 x1
P 0.3333 0.6667 0.7252 x2
S 0.0092 0.6909 0.3358 x6
S 0.3333 0.6667 0.9627 x2

Calculated values
Uncorrected formation energy in eV/atom: -0.48

---

2.
Material: CrRe2Se
Method: DFT, PBE-GGA
State: relaxed

Lattice parameters (Å, degrees): 4.3874 4.3874 2.9860 90.00 90.00 90.00
Space group P4/mmm (No. 123)
One atom of each set of equivalent atoms:
Cr 0.0000 0.0000 0.0000 x1
Re 0.0000 0.5000 0.5000 x2
Se 0.5000 0.5000 0.0000 x1

Calculated values
Uncorrected formation energy in eV/atom: 0.49
Polymorph energy (0 for the lowest one) in kcal/mol of atoms: 6.44

---

3.
Material: Sn2OsAu
Method: DFT, PBE-GGA
State: relaxed

Lattice parameters (Å, degrees): 6.1327 6.1327 12.2371 90.00 90.00 90.00
Space group I-42d (No. 122)
One atom of each set of equivalent atoms:
Sn 0.2229 0.2500 0.1250 x8
Os 0.0000 0.0000 0.0000 x4
Au 0.0000 0.0000 0.5000 x4

Calculated values
Energy of formation from the pure elements in meV/atom: 638
Polymorph energy (0 for the lowest one) in kcal/mol of atoms: 3.84

---

4.
Material: KFeMo2W
Method: DFT, PBE-GGA
State: relaxed

Lattice parameters (Å, degrees): 4.5732 4.5732 4.4690 90.00 90.00 90.00
Space group P4/mmm (No. 123)
One atom of each set of equivalent atoms:
K 0.0000 0.0000 0.0000 x1
Fe 0.0000 0.0000 0.5000 x1
Mo 0.0000 0.5000 0.5000 x2
W 0.5000 0.5000 0.0000 x1

Calculated values
Energy of formation from the pure elements in meV/atom: 2200

---

5.
Material: Na6Ge
Method: DFT, PBE-GGA
State: relaxed

Lattice parameters (Å, degrees): 8.1859 8.1859 8.1859 90.00 90.00 90.00
Space group Im-3m (No. 229)
One atom of each set of equivalent atoms:
Na 0.0000 0.2500 0.5000 x12
Ge 0.0000 0.0000 0.0000 x2

Calculated values
Energy of formation from the pure elements in meV/atom: 623

---

6.
Material: ThMnB
Method: DFT, PBE-GGA
State: relaxed

Lattice parameters (Å, degrees): 3.6812 3.6812 4.1116 90.00 90.00 120.00
Space group P-6m2 (No. 187)
One atom of each set of equivalent atoms:
Th 0.0000 0.0000 0.0000 x1
Mn 0.6667 0.3333 0.5000 x1
B 0.3333 0.6667 0.5000 x1

Calculated values
Energy of formation from the pure elements in meV/atom: -103

---

7.
Material: UInCl6
Method: DFT, PBE-GGA
State: relaxed

Lattice parameters (Å, degrees): 7.3613 11.9723 7.1686 90.00 104.30 90.00
Space group C2/m (No. 12)
One atom of each set of equivalent atoms:
U 0.0000 0.0000 0.0000 x2
In 0.0000 0.5000 0.5000 x2
Cl 0.2011 0.1471 0.2109 x8
Cl 0.2219 0.0000 0.7800 x4

Calculated values
Uncorrected formation energy in eV/atom: -1.47

---

8.
Material: CdHgPS2
Method: DFT, PBE-GGA
State: relaxed

Lattice parameters (Å, degrees): 4.9992 4.9992 5.1738 90.00 90.00 90.00
Space group P4/mmm (No. 123)
One atom of each set of equivalent atoms:
Cd 0.0000 0.0000 0.0000 x1
Hg 0.5000 0.5000 0.5000 x1
P 0.0000 0.0000 0.5000 x1
S 0.0000 0.5000 0.0000 x2

Calculated values
Uncorrected formation energy in eV/atom: 0.90
Polymorph energy (0 for the lowest one) in kcal/mol of atoms: 0.00

---

9.
Material: NiIr5
Method: DFT, PBE-GGA
State: relaxed

Lattice parameters (Å, degrees): 7.2171 7.2171 7.2171 90.00 90.00 90.00
Space group F-43m (No. 216)
One atom of each set of equivalent atoms:
Ni 0.0000 0.0000 0.0000 x4
Ir 0.1251 0.1251 0.3749 x16
Ir 0.2500 0.2500 0.7500 x4

Calculated values
Energy of formation from the pure elements in meV/atom: 752
Polymorph energy (0 for the lowest one) in kcal/mol of atoms: 16.68

---

10.
Material: YHoEr2
Method: DFT, PBE-GGA
State: relaxed

Lattice parameters (Å, degrees): 4.9869 6.1076 9.3318 77.45 74.58 65.91
Space group P1 (No. 1)
One atom of each set of equivalent atoms:
Y 0.0000 0.0000 0.0000 x1
Y 0.4989 0.2533 0.7486 x1
Ho 0.5000 0.7498 0.2501 x1
Ho 0.7494 0.1265 0.3745 x1
Er 0.2490 0.3760 0.1260 x1
Er 0.2499 0.8771 0.6227 x1
Er 0.7495 0.6266 0.8743 x1
Er 0.9990 0.5031 0.4986 x1

Calculated values
Energy of formation from the pure elements in meV/atom: 24
Polymorph energy (0 for the lowest one) in kcal/mol of atoms: 0.45

---

11.
Material: Mg2AlCl
Method: DFT, PBE-GGA
State: relaxed

Lattice parameters (Å, degrees): 3.1679 5.3338 10.3600 90.00 90.00 90.00
Space group Imm2 (No. 44)
One atom of each set of equivalent atoms:
Mg 0.0000 0.0000 0.0000 x2
Mg 0.0000 0.5000 0.2390 x2
Al 0.0000 0.0000 0.4828 x2
Cl 0.0000 0.5000 0.6943 x2

Calculated values
Uncorrected formation energy in eV/atom: -0.25
Polymorph energy (0 for the lowest one) in kcal/mol of atoms: 5.63

---

12.
Material: CaCrMo2
Method: DFT, PBE-GGA
State: relaxed

Lattice parameters (Å, degrees): 3.2195 4.5634 9.3540 90.00 90.00 90.00
Space group Cmm2 (No. 35)
One atom of each set of equivalent atoms:
Ca 0.0000 0.0000 0.0000 x2
Cr 0.0000 0.5000 0.2739 x2
Mo 0.0000 0.0000 0.4781 x2
Mo 0.0000 0.5000 0.7102 x2

Calculated values
Energy of formation from the pure elements in meV/atom: 600
Polymorph energy (0 for the lowest one) in kcal/mol of atoms: 0.82

---

For the records above, the corresponding final energy values read -4.974, -9.012, -4.991, -6.635, -1.167, -7.859, -4.613, -2.075, -7.595, -5.018, -2.448, -7.722 eV per atom.
For the records above, the corresponding V values read 20.63, 14.37, 28.77, 18.69, 39.18, 16.09, 38.26, 25.86, 15.66, 31.03, 21.88, 17.18 Å³/atom.